A relaxed structure of Pu2Tl2O7. Source: Alexandria, functional PBE.

Cell lengths 11.2806, 11.2806, 11.2806 Å; angles 90.00, 90.00, 90.00 degrees
Space group Fd-3m (No. 227, origin choice 2)
Asymmetric unit:
1 Pu 0.0000 0.0000 0.0000 x16
2 Tl 0.0000 0.0000 0.5000 x16
3 O 0.0655 0.3750 0.3750 x48
4 O 0.1250 0.1250 0.6250 x8

Values from the calculation:
DOS(E_F)   74.37 states/eV per cell
Total energy   -719.4 eV per cell
Total magnetic moment   6.2 μB per formula unit
Raw formation energy   -2106 kJ/mol of formula units